Compound: Zr5Tl3
Source: Alexandria
Functional: meta-GGA SCAN
Structure: single point on PBEsol structure

Cell lengths 4.4769, 6.2603, 6.2603 Å; angles 96.60, 90.00, 90.00 degrees
With the nearest neighbours (Å) after each atom.
Fractional coordinates of all 8 atoms:
Zr 0.0000 0.0000 0.5000  6 Tl 3.06-3.13, 6 Zr 3.13-3.24
Zr 0.5000 0.2542 0.2542  6 Tl 3.03-3.20, 6 Zr 3.08-3.24
Zr 0.5000 0.7458 0.7458  6 Tl 3.03-3.20, 6 Zr 3.08-3.24
Zr 0.0000 0.5000 0.0000  6 Tl 3.06-3.13, 6 Zr 3.13-3.24
Tl 0.5000 0.7629 0.2371  10 Zr 3.06-3.20, 2 Tl 3.32
Tl 0.5000 0.2371 0.7629  10 Zr 3.06-3.20, 2 Tl 3.32
Zr 0.0000 0.0000 0.0000  8 Zr 3.08-3.13, 4 Tl 3.15
Tl 0.0000 0.5000 0.5000  8 Zr 3.03-3.13, 4 Tl 3.32

Output
Energy of formation from the pure elements, meV/atom: -210
Energy above the most stable polymorph in this dataset, meV per atom: 92



Compound: BaMg5
Source: Alexandria
Functional: meta-GGA SCAN
Structure: single point on PBEsol structure

Cell lengths 6.1906, 6.1906, 6.1906 Å; angles 60.00, 60.00, 60.00 degrees
With the nearest neighbours (Å) after each atom.
Fractional coordinates of all 6 atoms:
Mg 0.3758 0.8727 0.3758  6 Mg 3.08-3.11
Mg 0.7500 0.7500 0.7500  12 Mg 3.63, 4 Ba 3.79
Mg 0.3758 0.3758 0.3758  6 Mg 3.08-3.11
Ba 0.0000 0.0000 0.0000  16 Mg 3.63-3.79
Mg 0.3758 0.3758 0.8727  6 Mg 3.08-3.11
Mg 0.8727 0.3758 0.3758  6 Mg 3.08-3.11

Output
Energy of formation from the pure elements, meV/atom: 0



Compound: TlTcAs2
Source: Alexandria
Functional: meta-GGA SCAN
Structure: single point on PBEsol structure

Cell lengths 3.0704, 3.2148, 8.5665 Å; angles 100.81, 100.32, 90.00 degrees
With the nearest neighbours (Å) after each atom.
Fractional coordinates of all 4 atoms:
Tl 0.1874 0.6874 0.3748  4 Tl 3.07-3.21, 6 As 3.15-3.32
As 0.0238 0.0238 0.0476  4 Tc 2.52
Tc 0.4523 0.4523 0.9047  6 As 2.46-2.52
As 0.8365 0.3365 0.6729  2 Tc 2.46

Output
Energy of formation from the pure elements, meV/atom: 2
Energy above the most stable polymorph in this dataset, meV per atom: 0



Compound: CaMg
Source: Alexandria
Functional: meta-GGA SCAN
Structure: single point on PBEsol structure

Cell lengths 3.7523, 3.7523, 8.7710 Å; angles 90.00, 90.00, 90.00 degrees
With the nearest neighbours (Å) after each atom.
Fractional coordinates of all 4 atoms:
Mg 0.0000 0.5000 0.4091  4 Mg 3.10, 4 Ca 3.42
Ca 0.0000 0.5000 0.8367  5 Mg 3.42-3.75, 4 Ca 3.75
Ca 0.5000 0.0000 0.1633  5 Mg 3.42-3.75, 4 Ca 3.75
Mg 0.5000 0.0000 0.5909  4 Mg 3.10, 4 Ca 3.42

Output
Energy of formation from the pure elements, meV/atom: -34



Compound: Hf2P2O9
Source: Alexandria
Functional: meta-GGA SCAN
Structure: single point on PBEsol structure

Cell lengths 5.4331, 5.4331, 11.8130 Å; angles 90.00, 90.00, 105.46 degrees
With the nearest neighbours (Å) after each atom.
Fractional coordinates of all 26 atoms:
O 0.6384 0.3616 0.7734  1 P 1.51
O 0.4348 0.5652 0.6229  1 P 1.51
O 0.1310 0.5148 0.4156  1 P 1.57
O 0.1384 0.8616 0.7266  1 P 1.51
O 0.3616 0.6384 0.2266  1 P 1.51
P 0.3938 0.6062 0.3523  4 O 1.51-1.57
O 0.5148 0.1310 0.5844  1 P 1.57
O 0.6310 0.0148 0.0844  1 P 1.57
O 0.8616 0.1384 0.2734  1 P 1.51
Hf 0.7934 0.2066 0.4389  5 O 1.93-2.15
Hf 0.7066 0.2934 0.9389  5 O 1.93-2.15
P 0.6062 0.3938 0.6477  4 O 1.51-1.57
O 0.5652 0.4348 0.3771  1 P 1.51
O 0.9852 0.3690 0.0844  1 P 1.57
O 0.0000 0.0000 0.5000  2 Hf 1.93
Hf 0.2066 0.7934 0.5611  5 O 1.93-2.15
O 0.5000 0.5000 0.0000  2 Hf 1.93
P 0.8938 0.1062 0.1477  4 O 1.51-1.57
O 0.0652 0.9348 0.1229  1 P 1.51
O 0.0148 0.6310 0.9156  1 P 1.57
O 0.8690 0.4852 0.5844  1 P 1.57
P 0.1062 0.8938 0.8523  4 O 1.51-1.57
O 0.4852 0.8690 0.4156  1 P 1.57
O 0.3690 0.9852 0.9156  1 P 1.57
O 0.9348 0.0652 0.8771  1 P 1.51
Hf 0.2934 0.7066 0.0611  5 O 1.93-2.15

Output
Energy above the most stable polymorph in this dataset, meV per atom: 5



Compound: Mg2ZnIn
Source: Alexandria
Functional: meta-GGA SCAN
Structure: single point on PBEsol structure

Cell lengths 3.1945, 4.0110, 6.2465 Å; angles 90.00, 90.00, 90.00 degrees
With the nearest neighbours (Å) after each atom.
Fractional coordinates of all 4 atoms:
Zn 0.5000 0.5000 0.0000  8 Mg 2.95, 2 In 3.12, 2 Zn 3.19
Mg 0.0000 0.0000 0.2340  3 Mg 2.92-3.19, 4 Zn 2.95, 4 In 3.06
In 0.5000 0.5000 0.5000  8 Mg 3.06, 2 Zn 3.12, 2 In 3.19
Mg 0.0000 0.0000 0.7660  3 Mg 2.92-3.19, 4 Zn 2.95, 4 In 3.06

Output
Energy of formation from the pure elements, meV/atom: -125



Compound: TlInBi2O
Source: Alexandria
Functional: meta-GGA SCAN
Structure: single point on PBEsol structure

Cell lengths 4.0574, 5.9472, 5.9472 Å; angles 90.00, 90.00, 90.00 degrees
With the nearest neighbours (Å) after each atom.
Fractional coordinates of all 5 atoms:
Tl 0.0000 0.0000 0.0000  2 O 2.03
O 0.5000 0.0000 0.0000  2 Tl 2.03
In 0.5000 0.5000 0.5000  8 Bi 3.60
Bi 0.0000 0.5000 0.0000  2 Tl 2.97
Bi 0.0000 0.0000 0.5000  2 Tl 2.97

Output
VASP energy, eV per atom: -53.451



Compound: Ca2CdCu
Source: Alexandria
Functional: meta-GGA SCAN
Structure: single point on PBEsol structure

Cell lengths 3.9847, 3.9847, 8.3460 Å; angles 76.19, 76.19, 60.00 degrees
With the nearest neighbours (Å) after each atom.
Fractional coordinates of all 4 atoms:
Ca 0.2626 0.2626 0.2121  3 Cu 2.86
Cu 0.0000 0.0000 0.0000  6 Ca 2.86
Ca 0.7374 0.7374 0.7879  3 Cu 2.86
Cd 0.5000 0.5000 0.5000  6 Ca 3.26

Output
Energy of formation from the pure elements, meV/atom: -41



Compound: PrTlAg2
Source: Alexandria
Functional: meta-GGA SCAN
Structure: single point on PBEsol structure

Cell lengths 4.9987, 4.9987, 4.9987 Å; angles 60.00, 60.00, 60.00 degrees
With the nearest neighbours (Å) after each atom.
Fractional coordinates of all 4 atoms:
Ag 0.2500 0.2500 0.2500  4 Tl 3.06, 4 Pr 3.06
Pr 0.5000 0.5000 0.5000  8 Ag 3.06
Tl 0.0000 0.0000 0.0000  8 Ag 3.06
Ag 0.7500 0.7500 0.7500  4 Pr 3.06, 4 Tl 3.06

Output
Energy of formation from the pure elements, meV/atom: -305



Compound: YHgPb2
Source: Alexandria
Functional: meta-GGA SCAN
Structure: single point on PBEsol structure

Cell lengths 4.4936, 4.4936, 5.9734 Å; angles 112.09, 112.09, 90.00 degrees
With the nearest neighbours (Å) after each atom.
Fractional coordinates of all 4 atoms:
Y 0.5000 0.5000 0.0000  8 Pb 3.18-3.38, 4 Hg 3.38
Pb 0.0000 0.0000 0.0000  4 Y 3.18, 4 Hg 3.38, 4 Pb 3.38
Pb 0.7500 0.2500 0.5000  4 Hg 3.18, 4 Pb 3.38, 4 Y 3.38
Hg 0.2500 0.7500 0.5000  8 Pb 3.18-3.38, 4 Y 3.38

Output
Energy of formation from the pure elements, meV/atom: -420



Compound: HfTlS2
Source: Alexandria
Functional: meta-GGA SCAN
Structure: single point on PBEsol structure

Cell lengths 3.5184, 3.5184, 9.2653 Å; angles 79.05, 79.05, 60.00 degrees
With the nearest neighbours (Å) after each atom.
Fractional coordinates of all 4 atoms:
Tl 0.0000 0.0000 0.0000  2 S 3.02
S 0.8885 0.8885 0.3345  3 Hf 2.52
Hf 0.5000 0.5000 0.5000  6 S 2.52
S 0.1115 0.1115 0.6655  3 Hf 2.52

Output
VASP energy, eV per atom: -39.876



Compound: ScAs2HSe
Source: Alexandria
Functional: meta-GGA SCAN
Structure: single point on PBEsol structure

Cell lengths 3.8676, 3.8676, 5.4424 Å; angles 90.00, 90.00, 90.00 degrees
With the nearest neighbours (Å) after each atom.
Fractional coordinates of all 5 atoms:
As 0.0000 0.5000 0.0000  2 H 1.93
H 0.0000 0.0000 0.0000  4 As 1.93
As 0.5000 0.0000 0.0000  2 H 1.93
Se 0.0000 0.0000 0.5000  2 H 2.72, 4 Sc 2.73
Sc 0.5000 0.5000 0.5000  4 Se 2.73

Output
VASP energy, eV per atom: -15.847



Compound: Cr4Ni
Source: Alexandria
Functional: meta-GGA SCAN
Structure: single point on PBEsol structure

Cell lengths 2.4063, 2.4063, 9.9890 Å; angles 94.87, 94.87, 107.20 degrees
With the nearest neighbours (Å) after each atom.
Fractional coordinates of all 5 atoms:
Cr 0.4011 0.4011 0.8022  6 Cr 2.41-2.44, 2 Ni 2.42
Cr 0.5989 0.5989 0.1978  6 Cr 2.41-2.44, 2 Ni 2.42
Cr 0.1992 0.1992 0.3985  8 Cr 2.41-2.46
Ni 0.0000 0.0000 0.0000  4 Ni 2.41, 4 Cr 2.42
Cr 0.8008 0.8008 0.6015  8 Cr 2.41-2.46

Output
Energy of formation from the pure elements, meV/atom: 53
Energy above the most stable polymorph in this dataset, meV per atom: 0



Compound: MgFePt2
Source: Alexandria
Functional: meta-GGA SCAN
Structure: single point on PBEsol structure

Cell lengths 2.8025, 4.4762, 4.5789 Å; angles 90.00, 90.00, 90.00 degrees
With the nearest neighbours (Å) after each atom.
Fractional coordinates of all 4 atoms:
Pt 0.0000 0.0000 0.0758  4 Mg 2.68, 4 Fe 2.68-2.69, 4 Pt 2.80-2.90
Pt 0.0000 0.5000 0.6737  4 Mg 2.68-2.69, 4 Fe 2.68, 4 Pt 2.80-2.90
Mg 0.5000 0.5000 0.1752  8 Pt 2.68-2.69, 2 Mg 2.80, 2 Fe 2.89
Fe 0.5000 0.0000 0.5753  8 Pt 2.68-2.69, 2 Fe 2.80, 2 Mg 2.89

Output
Energy of formation from the pure elements, meV/atom: -651



Spin magnetization (computed, μB/cell): 0.00, 0.55, 0.00, 0.14, 0.00, 0.00, 0.00, 0.00, 0.00, 0.00, 0.00, 0.00, 0.02, 3.71